DFT (PBE-GGA) results for a relaxed structure of TmAu4.

Computed properties:
Space-group type: Pm-3m
Raw total energy (eV/atom): -2.894

Unit cell a=5.3336 b=5.3336 c=5.3336 alpha=90.00 beta=90.00 gamma=90.00
With the nearest neighbours (Å) after each atom.
Atoms (fractional coordinates):
Au: 0.5000 0.5000 0.0000  2 Tm 2.67
Au: 0.0000 0.0000 0.0000  12 Au 3.77
Au: 0.0000 0.5000 0.5000  2 Tm 2.67
Au: 0.5000 0.0000 0.5000  2 Tm 2.67
Tm: 0.5000 0.5000 0.5000  6 Au 2.67

DFT (PBE-GGA) results for a relaxed structure of BaNi3P.

Computed properties:
Space-group type: Pm-3m
ΔE to the lowest computed polymorph (eV per atom): 2.1737
Raw total energy (eV/atom): -2.941

Unit cell a=4.8596 b=4.8596 c=4.8596 alpha=90.00 beta=90.00 gamma=90.00
With the nearest neighbours (Å) after each atom.
Atoms (fractional coordinates):
Ba: 0.0000 0.0000 0.0000  6 Ni 2.43
Ni: 0.0000 0.0000 0.5000  2 Ba 2.43
Ni: 0.0000 0.5000 0.0000  2 Ba 2.43
Ni: 0.5000 0.0000 0.0000  2 Ba 2.43
P: 0.5000 0.5000 0.5000  12 Ni 3.44

DFT (PBE-GGA) results for a relaxed structure of CaScGa3.

Computed properties:
Space-group type: Pm-3m
ΔE to the lowest computed polymorph (eV per atom): 1.1767
Raw total energy (eV/atom): -2.814

Unit cell a=5.2213 b=5.2213 c=5.2213 alpha=90.00 beta=90.00 gamma=90.00
With the nearest neighbours (Å) after each atom.
Atoms (fractional coordinates):
Ga: 0.5000 0.0000 0.0000  2 Ca 2.61
Ga: 0.0000 0.5000 0.0000  2 Ca 2.61
Ga: 0.0000 0.0000 0.5000  2 Ca 2.61
Sc: 0.5000 0.5000 0.5000  12 Ga 3.69
Ca: 0.0000 0.0000 0.0000  6 Ga 2.61